Version a
Entry from the Alexandria database: a relaxed structure of Dy2ScCo (GGA-PBE).

a b c (Å): 3.385 3.385 8.300
angles (deg): 90.00 90.00 90.00
Space group P4/mmm (No. 123)
Inequivalent atoms, fractional coordinates:
Dy (0.000, 0.000, 0.196)
Sc (0.500, 0.500, 0.500)
Co (0.500, 0.500, 0.000)

Results
total magnetization = 1.65 Bohr magnetons per cell



Version b
Entry from the Alexandria database: a relaxed structure of Dy2ScCo (GGA-PBE).

a b c (Å): 6.782 9.184 6.082
angles (deg): 90.00 90.00 90.00
Space group Pnma (No. 62)
Inequivalent atoms, fractional coordinates:
Dy (0.181, 0.066, 0.178)
Sc (0.046, 0.250, 0.645)
Co (0.114, 0.750, 0.977)

Results
total magnetization = 0.00 Bohr magnetons per cell



Version c
Entry from the Alexandria database: a relaxed structure of Dy2ScCo (GGA-PBE).

a b c (Å): 3.4459 3.4459 30.1588
angles (deg): 90.00 90.00 120.00
Space group R-3m (No. 166, hexagonal axes)
Inequivalent atoms, fractional coordinates:
Dy (0.0000, 0.0000, 0.1087)
Sc (0.0000, 0.0000, 0.0000)
Co (0.0000, 0.0000, 0.5000)

Results
total magnetization = 1.54 Bohr magnetons per cell



Which structure is the least stable? The one labeled version c.



Version a
Entry from the Alexandria database: a relaxed structure of DyScCo (GGA-PBE).

a b c (Å): 3.506 6.394 11.484
angles (deg): 90.00 90.00 90.00
Space group Immm (No. 71)
Inequivalent atoms, fractional coordinates:
Dy (0.000, 0.000, 0.217)
Sc (0.000, 0.236, 0.500)
Co (0.000, 0.500, 0.111)

Results
total magnetization = 0.00 Bohr magnetons per cell



Version b
Entry from the Alexandria database: a relaxed structure of DyScCo (GGA-PBE).

a b c (Å): 6.411 6.411 6.411
angles (deg): 90.00 90.00 90.00
Space group F-43m (No. 216)
Inequivalent atoms, fractional coordinates:
Dy (0.000, 0.000, 0.000)
Sc (0.000, 0.000, 0.500)
Co (0.250, 0.250, 0.250)

Results
total magnetization = 0.00 Bohr magnetons per cell



Version c
Entry from the Alexandria database: a relaxed structure of DyScCo (GGA-PBE).

a b c (Å): 3.251 3.251 12.054
angles (deg): 90.00 90.00 90.00
Space group I4mm (No. 107)
Inequivalent atoms, fractional coordinates:
Dy (0.000, 0.000, 0.000)
Sc (0.000, 0.000, 0.261)
Co (0.000, 0.000, 0.643)

Results
total magnetization = 1.43 Bohr magnetons per cell



Which structure is the least stable? The one labeled version b.



Version a
Entry from the Alexandria database: a relaxed structure of Dy3Co2Si4 (GGA-PBE).

a b c (Å): 10.713 3.915 8.026
angles (deg): 90.00 100.73 90.00
Space group C2/m (No. 12)
Inequivalent atoms, fractional coordinates:
Dy (0.000, 0.000, 0.000)
Dy (0.166, 0.500, 0.659)
Co (0.107, 0.500, 0.277)
Si (0.056, 0.000, 0.380)
Si (0.218, 0.500, 0.068)

Results
total magnetization = 0.00 Bohr magnetons per cell



Version b
Entry from the Alexandria database: a relaxed structure of Dy3Co2Si4 (GGA-PBE).

a b c (Å): 10.538 4.027 7.841
angles (deg): 90.00 106.95 90.00
Space group C2/m (No. 12)
Inequivalent atoms, fractional coordinates:
Dy (0.000, 0.000, 0.000)
Dy (0.116, 0.500, 0.693)
Co (0.193, 0.500, 0.368)
Si (0.106, 0.000, 0.403)
Si (0.218, 0.500, 0.080)

Results
total magnetization = 0.00 Bohr magnetons per cell



Which structure is the least stable? The one labeled version a.



Version a
Entry from the Alexandria database: a relaxed structure of SmDy2Co (GGA-PBE).

a b c (Å): 3.6184 3.6184 31.0190
angles (deg): 90.00 90.00 120.00
Space group R-3m (No. 166, hexagonal axes)
Inequivalent atoms, fractional coordinates:
Sm (0.0000, 0.0000, 0.0000)
Dy (0.0000, 0.0000, 0.1151)
Co (0.0000, 0.0000, 0.5000)

Results
total magnetization = 0.00 Bohr magnetons per cell



Version b
Entry from the Alexandria database: a relaxed structure of SmDy2Co (GGA-PBE).

a b c (Å): 6.953 9.489 6.310
angles (deg): 90.00 90.00 90.00
Space group Pnma (No. 62)
Inequivalent atoms, fractional coordinates:
Sm (0.043, 0.250, 0.140)
Dy (0.172, 0.069, 0.677)
Co (0.113, 0.750, 0.443)

Results
total magnetization = 0.00 Bohr magnetons per cell



Version c
Entry from the Alexandria database: a relaxed structure of SmDy2Co (GGA-PBE).

a b c (Å): 3.662 12.077 9.476
angles (deg): 90.00 90.00 90.00
Space group Cmcm (No. 63)
Inequivalent atoms, fractional coordinates:
Sm (0.000, 0.084, 0.250)
Dy (0.000, 0.359, 0.073)
Co (0.000, 0.244, 0.750)

Results
total magnetization = 0.00 Bohr magnetons per cell



Which structure is the least stable? The one labeled version a.



Version a
Entry from the Alexandria database: a relaxed structure of SmDy2Co (GGA-PBE).

a b c (Å): 3.404 3.404 8.931
angles (deg): 90.00 90.00 90.00
Space group P4/mmm (No. 123)
Inequivalent atoms, fractional coordinates:
Sm (0.000, 0.000, 0.000)
Dy (0.500, 0.500, 0.320)
Co (0.000, 0.000, 0.500)

Results
total magnetization = 0.71 Bohr magnetons per cell



Version b
Entry from the Alexandria database: a relaxed structure of SmDy2Co (GGA-PBE).

a b c (Å): 3.7795 3.7795 27.0126
angles (deg): 90.00 90.00 120.00
Space group R3m (No. 160, hexagonal axes)
Inequivalent atoms, fractional coordinates:
Sm (0.0000, 0.0000, 0.0000)
Dy (0.0000, 0.0000, 0.2244)
Dy (0.0000, 0.0000, 0.4460)
Co (0.0000, 0.0000, 0.8352)

Results
total magnetization = 0.00 Bohr magnetons per cell



Which structure is the least stable? The one labeled version b.



Version a
Entry from the Alexandria database: a relaxed structure of Sm3DyCo (GGA-PBE).

a b c (Å): 8.535 9.292 7.429
angles (deg): 90.00 90.00 90.00
Space group Imma (No. 74)
Inequivalent atoms, fractional coordinates:
Sm (0.000, 0.250, 0.022)
Sm (0.250, 0.035, 0.750)
Dy (0.000, 0.250, 0.471)
Co (0.250, 0.250, 0.250)

Results
total magnetization = 0.00 Bohr magnetons per cell



Version b
Entry from the Alexandria database: a relaxed structure of Sm3DyCo (GGA-PBE).

a b c (Å): 11.727 8.464 8.290
angles (deg): 90.00 134.60 90.00
Space group C2/m (No. 12)
Inequivalent atoms, fractional coordinates:
Sm (0.046, 0.000, 0.338)
Sm (0.249, 0.297, 0.791)
Dy (0.046, 0.500, 0.249)
Co (0.249, 0.500, 0.131)

Results
total magnetization = 0.00 Bohr magnetons per cell



Version c
Entry from the Alexandria database: a relaxed structure of Sm3DyCo (GGA-PBE).

a b c (Å): 5.374 5.374 5.374
angles (deg): 90.00 90.00 90.00
Space group Pm-3m (No. 221)
Inequivalent atoms, fractional coordinates:
Sm (0.000, 0.000, 0.500)
Dy (0.500, 0.500, 0.500)
Co (0.000, 0.000, 0.000)

Results
total magnetization = 0.76 Bohr magnetons per cell



Which structure is the least stable? The one labeled version c.



Version a
Entry from the Alexandria database: a relaxed structure of Sm2DyCo2 (GGA-PBE).

a b c (Å): 10.835 5.988 7.345
angles (deg): 90.00 102.34 90.00
Space group C2/c (No. 15)
Inequivalent atoms, fractional coordinates:
Sm (0.157, 0.111, 0.149)
Dy (0.000, 0.419, 0.750)
Co (0.167, 0.356, 0.516)

Results
total magnetization = 0.00 Bohr magnetons per cell



Version b
Entry from the Alexandria database: a relaxed structure of Sm2DyCo2 (GGA-PBE).

a b c (Å): 7.270 7.270 4.269
angles (deg): 90.00 90.00 90.00
Space group P4/mbm (No. 127)
Inequivalent atoms, fractional coordinates:
Sm (0.174, 0.326, 0.000)
Dy (0.000, 0.000, 0.500)
Co (0.109, 0.609, 0.500)

Results
total magnetization = 0.00 Bohr magnetons per cell



Which structure is the least stable? The one labeled version b.



Version a
Entry from the Alexandria database: a relaxed structure of SmDy3Co2 (GGA-PBE).

a b c (Å): 16.498 3.746 11.748
angles (deg): 90.00 124.73 90.00
Space group C2/m (No. 12)
Inequivalent atoms, fractional coordinates:
Sm (0.157, 0.000, 0.246)
Dy (0.084, 0.500, 0.445)
Dy (0.085, 0.500, 0.939)
Dy (0.158, 0.000, 0.749)
Co (0.234, 0.000, 0.047)
Co (0.235, 0.000, 0.549)

Results
total magnetization = 0.00 Bohr magnetons per cell



Version b
Entry from the Alexandria database: a relaxed structure of SmDy3Co2 (GGA-PBE).

a b c (Å): 16.158 3.978 11.562
angles (deg): 90.00 123.06 90.00
Space group C2/m (No. 12)
Inequivalent atoms, fractional coordinates:
Sm (0.063, 0.000, 0.191)
Dy (0.063, 0.500, 0.690)
Dy (0.189, 0.000, 0.561)
Dy (0.190, 0.500, 0.059)
Co (0.125, 0.000, 0.874)
Co (0.125, 0.500, 0.379)

Results
total magnetization = 0.00 Bohr magnetons per cell



Which structure is the least stable? The one labeled version b.



Version a
Entry from the Alexandria database: a relaxed structure of SrDy2Co (GGA-PBE).

a b c (Å): 3.8814 3.8814 31.8903
angles (deg): 90.00 90.00 120.00
Space group R-3m (No. 166, hexagonal axes)
Inequivalent atoms, fractional coordinates:
Sr (0.0000, 0.0000, 0.0000)
Dy (0.0000, 0.0000, 0.1222)
Co (0.0000, 0.0000, 0.5000)

Results
total magnetization = 0.00 Bohr magnetons per cell



Version b
Entry from the Alexandria database: a relaxed structure of SrDy2Co (GGA-PBE).

a b c (Å): 3.450 3.450 9.784
angles (deg): 90.00 90.00 90.00
Space group P4/mmm (No. 123)
Inequivalent atoms, fractional coordinates:
Sr (0.000, 0.000, 0.000)
Dy (0.500, 0.500, 0.339)
Co (0.000, 0.000, 0.500)

Results
total magnetization = 0.46 Bohr magnetons per cell



Which structure is the least stable? The one labeled version a.



Version a
Entry from the Alexandria database: a relaxed structure of TbDyCo (GGA-PBE).

a b c (Å): 5.713 3.770 7.043
angles (deg): 90.00 94.94 90.00
Space group P2_1/m (No. 11)
Inequivalent atoms, fractional coordinates:
Tb (0.177, 0.250, 0.323)
Dy (0.346, 0.250, 0.831)
Co (0.131, 0.750, 0.040)

Results
total magnetization = 0.00 Bohr magnetons per cell



Version b
Entry from the Alexandria database: a relaxed structure of TbDyCo (GGA-PBE).

a b c (Å): 6.635 6.635 6.635
angles (deg): 90.00 90.00 90.00
Space group F-43m (No. 216)
Inequivalent atoms, fractional coordinates:
Tb (0.000, 0.000, 0.000)
Dy (0.000, 0.000, 0.500)
Co (0.250, 0.250, 0.750)

Results
total magnetization = 0.00 Bohr magnetons per cell



Which structure is the least stable? The one labeled version b.